{"formula": "SrCrWO6", "functional": "GGA+U", "state": "optimized geometry", "space_group": "No. 102", "dft_energy_ev_per_atom": -7.129, "lattice_angstrom": [[4.951, 0.000, 0.000], [0.000, 4.951, 0.000], [0.000, 0.000, 9.620]], "species": ["O", "O", "O", "O", "O", "O", "O", "O", "O", "O", "O", "O", "Sr", "Sr", "W", "W", "Cr", "Cr"], "fractional_positions": [[0.230, 0.770, 0.198], [0.223, 0.777, 0.798], [0.770, 0.230, 0.198], [0.277, 0.277, 0.298], [0.723, 0.723, 0.298], [0.666, 0.666, 0.002], [0.777, 0.223, 0.798], [0.166, 0.834, 0.502], [0.730, 0.730, 0.698], [0.334, 0.334, 0.002], [0.834, 0.166, 0.502], [0.270, 0.270, 0.698], [0.000, 0.000, 0.006], [0.500, 0.500, 0.506], [0.500, 0.500, 0.164], [0.000, 0.000, 0.664], [0.000, 0.000, 0.334], [0.500, 0.500, 0.834]]}